Material: TlHg2PtI
Method: DFT, PBE
State: relaxed

Cell and atoms, written as POSCAR:
```
TlHg2PtI
1.0
5.355 0.000 0.000
0.000 5.355 0.000
0.000 0.000 5.469
I Tl Hg Pt
1 1 2 1
direct
0.500 0.500 0.500 I
0.000 0.000 0.500 Tl
0.000 0.500 0.000 Hg
0.500 0.000 0.000 Hg
0.000 0.000 0.000 Pt
```

## Properties
Space group: P4/mmm (123)
DOS(E_F) in states/eV/atom: 0.306

Material: Cs2Rb2Si3
Method: DFT, PBE
State: relaxed

Cell and atoms, written as POSCAR:
```
Cs2Rb2Si3
1.0
-0.851 5.415 -2.565
-1.100 -5.931 -5.015
-5.471 2.756 7.634
Cs Rb Si
2 2 3
direct
0.843 0.687 0.224 Cs
0.157 0.313 0.776 Cs
0.827 0.654 0.712 Rb
0.173 0.346 0.288 Rb
0.500 0.000 0.000 Si
0.505 0.010 0.232 Si
0.495 0.990 0.768 Si
```

## Properties
Space group: C2/m (12)

no.,ΔE_f (raw) (eV per atom)
1,-0.194
2,0.102